# 1
VASP calculation (PBEsol) on a relaxed NaDy3Ti2Sb2O14 crystal.

Summary:
- offset from the most stable computed form (kJ/mol of atoms) = 0.4
- total magnetic moment (μB/f.u.) = 0.00
- space group = C2/m (12)
- raw formation energy (eV/atom) = -2.7456
- DOS at the Fermi energy (states/eV/cell) = 0.0

Cell and atoms, written as POSCAR:
```
NaDy3Ti2Sb2O14
1.0
-3.6141 -3.0525 5.3454
-1.8265 -6.9327 -0.4877
6.9050 1.7434 0.9581
O Ti Dy Na Sb
14 2 3 1 2
Cartesian
1.2583 -3.7704 1.0941
-1.8951 -6.7716 2.0313
0.2060 -4.4714 4.7216
-2.5675 -5.2425 4.3726
2.5507 -4.3477 3.6101
-0.6013 -7.2516 4.5547
5.2740 0.1928 1.4611
0.9747 -6.0001 2.3965
3.3595 -1.4703 3.7844
-1.0863 -3.8941 2.2056
0.4897 -2.2418 3.4192
-3.8096 -8.4346 4.3546
4.0319 -2.9993 1.4431
2.0656 -0.9902 1.2610
2.5393 -2.5946 0.2352
0.7322 -4.1209 2.9078
3.4525 0.8717 0.4790
-0.9132 -3.4663 -0.2439
-1.8071 -1.5263 2.6727
0.0000 0.0000 0.0000
1.6454 -0.6546 3.1517
-2.7203 -4.9926 2.4288
```

***

# 2
VASP calculation (PBEsol) on a relaxed NaDy3Ti2Sb2O14 crystal.

Summary:
- offset from the most stable computed form (kJ/mol of atoms) = 0.0
- total magnetic moment (μB/f.u.) = 0.00
- space group = P2/c (13)
- raw formation energy (eV/atom) = -2.7501
- DOS at the Fermi energy (states/eV/cell) = 0.0

Cell and atoms, written as POSCAR:
```
NaDy3Ti2Sb2O14
1.0
7.2017 0.0000 0.0000
0.0000 7.2285 -0.0017
0.0000 0.0684 10.2028
O Sb Ti Dy Na
28 4 4 6 2
Cartesian
6.8511 2.2824 6.4652
3.2314 5.8014 1.2356
1.8904 0.0573 6.4513
3.9011 5.1280 6.3532
0.2988 2.1747 3.7819
5.3935 3.6520 4.2864
5.2523 0.0526 6.8904
3.9703 1.4955 8.9655
3.9703 2.2214 6.3378
1.9494 7.2444 3.3108
1.8082 3.6449 5.9147
3.3006 2.1689 3.8479
5.3113 3.6374 1.3491
0.3506 5.8625 1.3630
1.8082 0.0719 9.3886
3.3006 1.4796 1.2526
3.2314 5.0756 3.8633
1.8904 3.6596 8.8520
6.8511 1.4344 8.8381
5.3935 7.2250 0.8125
0.3506 5.0145 3.7359
6.9029 5.8231 8.8825
1.9494 3.6326 1.7881
5.3113 7.2396 3.7498
3.9011 5.8174 8.9485
6.9029 5.1223 6.4192
0.2988 1.4738 1.3187
5.2523 3.6643 8.4130
0.0000 0.0000 0.0000
5.3700 5.4727 7.6508
1.8317 1.8242 2.5503
0.0000 3.6485 5.1006
5.3105 1.8584 7.6517
1.8912 5.4385 2.5495
3.6009 3.6485 5.1006
3.6009 0.0000 0.0000
1.6526 1.8584 7.6517
1.7834 5.4727 7.6508
3.6009 3.6143 -0.0008
5.5491 5.4385 2.5495
3.6009 0.0342 5.1014
5.4183 1.8242 2.5503
0.0000 3.6143 -0.0008
0.0000 0.0342 5.1014
```

***

# 3
VASP calculation (PBEsol) on a relaxed NaDyTl2 crystal.

Summary:
- total magnetic moment (μB/f.u.) = 0.00
- space group = Fm-3m (225)
- energy of formation (eV per atom) = -0.28
- DOS at the Fermi energy (states/eV/cell) = 1.0

Cell and atoms, written as POSCAR:
```
NaDyTl2
1.0
5.2261 0.0000 0.0000
2.6130 4.5259 0.0000
2.6130 1.5086 4.2671
Tl Na Dy
2 1 1
Cartesian
7.8391 4.5259 3.2003
2.6130 1.5086 1.0668
0.0000 0.0000 0.0000
5.2261 3.0173 2.1335
```

***

# 4
VASP calculation (PBEsol) on a relaxed Dy2Nb2S7O30 crystal.

Summary:
- total magnetic moment (μB/f.u.) = 2.23
- space group = P-42_1m (113)
- raw formation energy (eV/atom) = -1.7922
- DOS at the Fermi energy (states/eV/cell) = 19.0

Cell and atoms, written as POSCAR:
```
Dy2Nb2S7O30
1.0
7.0203 0.0000 0.0000
0.0000 12.6921 0.0000
0.0000 0.0000 12.6921
S O Dy Nb
14 60 4 4
Cartesian
4.8739 10.4458 11.8616
4.8739 5.5155 4.0997
6.2520 1.5692 4.7768
2.1464 4.0997 7.1766
4.5930 6.3461 0.0000
6.2520 11.1229 7.9153
0.7684 7.9153 1.5692
4.8739 7.1766 8.5924
4.8739 2.2464 0.8305
2.1464 11.8616 2.2464
2.1464 0.8305 10.4458
0.7684 4.7768 11.1229
2.4274 0.0000 6.3461
2.1464 8.5924 5.5155
5.0407 5.3949 5.5436
0.8545 9.2427 5.0008
5.0407 7.2973 7.1485
5.0407 11.8897 11.7409
2.3529 9.0428 6.8906
0.9605 6.2465 10.8757
2.3529 3.6494 5.8015
3.2367 10.9862 2.6956
3.7754 7.2072 0.8611
3.7836 9.9965 10.9862
6.0599 10.8757 6.4456
3.2367 3.6504 8.0520
0.8545 1.3453 9.7955
6.1659 2.8966 1.3453
6.1659 9.7955 11.3468
6.0599 1.8165 6.2465
6.1659 5.0008 3.4495
3.2449 0.8611 5.4849
3.2367 1.7059 9.9965
1.4751 3.7496 2.5965
2.3529 12.1476 9.9955
5.5452 2.5965 8.9425
0.5652 10.7237 8.3145
5.1814 10.4255 8.6127
1.9796 0.9512 11.8897
3.7836 2.6956 1.7059
4.6674 6.8906 3.6494
3.2449 11.8310 7.2072
1.8389 8.6127 2.2666
1.5582 0.8500 7.1961
6.0599 12.5926 8.1626
5.4622 5.4961 0.8500
1.9796 7.1485 5.3949
0.8545 3.4495 7.6914
0.9605 4.5296 12.5926
6.0599 0.0995 4.5296
1.9796 11.7409 0.8025
0.5652 1.9685 4.3776
5.0407 0.8025 0.9512
3.7836 4.6401 3.6504
1.9796 5.5436 7.2973
0.8545 11.3468 2.8966
5.1814 2.2666 4.0794
0.9605 6.4456 1.8165
1.8389 4.0794 10.4255
5.4622 7.1961 11.8421
6.1659 7.6914 9.2427
3.7754 5.4849 11.8310
2.3529 0.5445 2.6967
1.4751 8.9425 10.0957
4.6674 2.6967 12.1476
3.7836 8.0520 9.0417
6.4552 8.3145 1.9685
3.2367 9.0417 4.6401
1.5582 11.8421 5.4961
0.9605 8.1626 0.0995
5.5452 10.0957 3.7496
6.4552 4.3776 10.7237
4.6674 5.8015 9.0428
4.6674 9.9955 0.5445
4.1665 3.8534 10.1994
2.8538 2.4927 3.8534
4.1665 8.8388 2.4927
2.8538 10.1994 8.8388
0.1434 8.1173 10.9209
0.1434 4.5748 1.7712
6.8769 1.7712 8.1173
6.8769 10.9209 4.5748
```

***

# 5
VASP calculation (PBEsol) on a relaxed DyNbRu2 crystal.

Summary:
- total magnetic moment (μB/f.u.) = 0.00
- space group = Fm-3m (225)
- energy of formation (eV per atom) = -0.26
- DOS at the Fermi energy (states/eV/cell) = 0.8

Cell and atoms, written as POSCAR:
```
DyNbRu2
1.0
-4.5692 0.0342 0.0328
-2.3247 -3.3468 -2.0675
-2.2899 -3.0691 2.4934
Ru Dy Nb
2 1 1
Cartesian
-6.8878 -4.7863 0.3440
-2.2959 -1.5954 0.1147
0.0000 0.0000 0.0000
-4.5919 -3.1908 0.2293
```

***

# 6
VASP calculation (PBEsol) on a relaxed DyNi crystal.

Summary:
- total magnetic moment (μB/f.u.) = 0.00
- space group = Pnma (62)
- energy of formation (eV per atom) = -0.44
- DOS at the Fermi energy (states/eV/cell) = 5.3

Cell and atoms, written as POSCAR:
```
DyNi
1.0
-1.3544 1.0008 3.8008
4.6255 -1.5560 2.0581
2.4808 6.3371 -0.7846
Dy Ni
4 4
Cartesian
2.7059 1.7903 3.9031
0.7253 1.1864 1.0828
5.0266 4.5955 3.9915
3.0460 3.9916 1.1712
3.0963 6.2723 2.8621
0.7216 3.4854 2.7497
5.0303 2.2965 2.3246
2.6556 -0.4905 2.2122
```

***

# 7
VASP calculation (PBEsol) on a relaxed Dy2Ni17 crystal.

Summary:
- total magnetic moment (μB/f.u.) = 6.85
- space group = P6_3/mmc (194)
- energy of formation (eV per atom) = -0.20
- DOS at the Fermi energy (states/eV/cell) = 51.3

Cell and atoms, written as POSCAR:
```
Dy2Ni17
1.0
-6.7100 -1.8070 -3.7242
4.2435 -3.9608 -5.7239
-2.6059 -3.9743 6.6236
Dy Ni
4 34
Cartesian
-5.0325 -1.3553 -2.7931
-1.6775 -0.4518 -0.9310
0.2829 -4.4171 -2.5391
-5.3553 -5.3251 -0.2853
-3.8187 -6.5179 -2.4751
-4.3121 -4.1272 -2.7462
-2.6119 -7.6443 -4.1030
-1.2537 -3.2243 -0.3493
-1.0045 -4.1534 2.1294
1.6544 -6.0013 -0.4260
-5.9030 -7.7332 -1.9458
-4.0680 -5.5888 -4.9539
-1.2333 -2.8839 -4.7240
-2.7799 -5.5519 3.5299
-3.2456 -3.2953 3.2740
-2.2374 -2.8352 -2.5814
0.8188 -3.9676 0.4499
-4.9700 -4.9143 2.6367
-2.9961 -4.6898 1.0241
-1.8268 -6.4469 -6.0985
-2.4605 -2.0979 1.2785
2.9655 -4.0017 -3.7585
-4.6580 -2.8907 1.4497
-2.0764 -5.0524 -3.8485
-3.6590 -2.9147 -0.6957
-3.5710 -2.9970 -4.6299
-2.2925 -4.1903 -6.3544
0.8305 -2.0090 -0.8787
-2.5362 -4.8711 -1.4122
-1.4135 -6.8275 -2.1288
-0.1024 -4.8279 -5.4612
-1.5014 -6.7452 1.8054
-2.8351 -6.9070 -0.2430
-8.0379 -5.7405 0.9340
-6.7269 -3.7409 -2.3984
-1.3029 -1.9872 3.3118
2.1217 -1.9804 -2.8619
-0.7604 -5.6150 -0.0782
```

***

# 8
VASP calculation (PBEsol) on a relaxed Dy3Ni2 crystal.

Summary:
- total magnetic moment (μB/f.u.) = 0.00
- space group = C2/m (12)
- energy of formation (eV per atom) = -0.36
- DOS at the Fermi energy (states/eV/cell) = 8.9

Cell and atoms, written as POSCAR:
```
Dy3Ni2
1.0
3.5884 0.0000 0.0000
-1.7942 6.5376 -0.0009
0.0000 -2.4968 9.0115
Dy Ni
6 4
Cartesian
0.0000 0.9691 3.3193
1.7942 4.8112 0.0179
1.7942 3.0717 5.6914
0.0000 -0.7704 8.9928
1.7942 -0.4113 6.0680
0.0000 4.4520 2.9427
1.7942 2.6176 2.0451
0.0000 1.4231 6.9655
1.7942 0.0938 1.3023
0.0000 3.9469 7.7083
```

***

# 9
VASP calculation (PBEsol) on a relaxed DyNi5 crystal.

Summary:
- total magnetic moment (μB/f.u.) = 1.26
- space group = P6/mmm (191)
- energy of formation (eV per atom) = -0.33
- DOS at the Fermi energy (states/eV/cell) = 7.0

Cell and atoms, written as POSCAR:
```
DyNi5
1.0
3.9007 0.0000 0.0000
0.0000 4.7894 0.0000
0.0000 -2.3947 4.1478
Dy Ni
1 5
Cartesian
0.0000 0.0000 0.0000
0.0000 0.0000 2.7652
0.0000 2.3947 1.3826
1.9503 -1.1974 2.0739
1.9503 1.1974 2.0739
1.9503 2.3947 0.0000
```

***

# 10
VASP calculation (PBEsol) on a relaxed DyNi4P2 crystal.

Summary:
- total magnetic moment (μB/f.u.) = 0.00
- space group = P4_2/mnm (136)
- energy of formation (eV per atom) = -0.90
- DOS at the Fermi energy (states/eV/cell) = 10.1

Cell and atoms, written as POSCAR:
```
DyNi4P2
1.0
3.5661 0.0000 0.0000
0.0000 6.9887 0.0000
0.0000 0.0000 6.9887
Ni P Dy
8 4 2
Cartesian
1.7830 4.6316 0.5933
0.0000 5.8514 4.0876
0.0000 4.0876 5.8514
1.7830 2.3571 6.3954
0.0000 1.1372 2.9010
1.7830 0.5933 4.6316
0.0000 2.9010 1.1372
1.7830 6.3954 2.3571
1.7830 1.5400 1.5400
1.7830 5.4487 5.4487
0.0000 5.0343 1.9543
0.0000 1.9543 5.0343
1.7830 3.4943 3.4943
0.0000 0.0000 0.0000
```

***

# 11
VASP calculation (PBEsol) on a relaxed Dy12Ni6Pb crystal.

Summary:
- total magnetic moment (μB/f.u.) = 0.00
- space group = Im-3 (204)
- energy of formation (eV per atom) = -0.38
- DOS at the Fermi energy (states/eV/cell) = 17.2

Cell and atoms, written as POSCAR:
```
Dy12Ni6Pb
1.0
8.2696 0.0000 0.0000
-2.7565 7.7967 0.0000
-2.7565 -3.8983 6.7521
Ni Dy Pb
6 12 1
Cartesian
-2.0728 2.9161 3.3761
2.0728 -1.4657 4.2135
3.4403 3.4149 0.8374
0.6837 5.3640 2.5386
4.8293 0.9822 3.3761
-0.6837 0.4835 5.9147
2.7978 6.1529 1.2680
-0.6446 0.4558 3.3256
2.7153 0.2763 2.0575
0.0412 3.6221 4.6946
-2.7978 1.9783 5.9626
2.1119 0.7904 5.4841
5.5543 1.9200 0.7895
-0.0412 -2.2546 5.4841
4.8684 -1.2462 4.6946
0.6446 3.1079 1.2680
-2.1119 5.1446 2.0575
3.4012 3.4425 3.4265
0.0000 0.0000 0.0000
```

***

# 12
VASP calculation (PBEsol) on a relaxed Dy3NiPd2 crystal.

Summary:
- total magnetic moment (μB/f.u.) = 0.00
- space group = P2_1/m (11)
- energy of formation (eV per atom) = -0.74
- DOS at the Fermi energy (states/eV/cell) = 7.5

Cell and atoms, written as POSCAR:
```
Dy3NiPd2
1.0
4.3989 0.0000 0.0000
0.0000 5.4370 -0.0118
0.0000 -1.2822 10.3085
Pd Dy Ni
4 6 2
Cartesian
1.0997 4.6166 3.1838
3.2992 1.8871 0.2903
3.2992 -0.4618 7.1129
1.0997 2.2677 10.0065
1.0997 1.9065 2.2323
3.2992 4.6644 1.2699
1.0997 -0.5096 9.0268
1.0997 0.7293 5.5987
3.2992 3.4255 4.6981
3.2992 2.2483 8.0645
3.2992 0.7328 3.7195
1.0997 3.4220 6.5773
```

***

| no. | final energy (Ry per atom) |
| --- | --- |
| 1 | -0.5879 |
| 2 | -0.5883 |
| 3 | -0.2342 |
| 4 | -0.5257 |
| 5 | -0.6830 |
| 6 | -0.4418 |
| 7 | -0.4583 |
| 8 | -0.4271 |
| 9 | -0.4626 |
| 10 | -0.4990 |
| 11 | -0.4173 |
| 12 | -0.4585 |